GGA-PBE CuRu3, optimized geometry; energy = -7.600 eV/atom; V = 13.62 Å³/atom; symmetry = No. 71; energy relative to the elements = 381 meV per atom; Fermi-level density of states = 5.41 states/eV/cell
1.0
-3.035 -2.360 2.059
4.671 -0.223 2.011
0.028 1.858 2.170
Cu Ru
1 3
direct
0.000 0.000 0.000 Cu
0.238 0.476 0.262 Ru
0.500 0.000 0.500 Ru
0.762 0.524 0.738 Ru